# Cu2SiP

A relaxed Cu2SiP crystal (GGA-PBE, Alexandria via LeMat-Bulk).

Cell: 3.762 3.792 3.739 Å, 90.00 90.00 90.00°
Fractional coordinates of all 4 atoms:
Cu (0.500, 0.500, 0.000)
Cu (0.000, 0.000, 0.000)
Si (0.000, 0.500, 0.500)
P (0.500, 0.000, 0.500)

Results
Symmetry   Pmmm (47)
Uncorrected formation energy   0.25 eV/atom
N(E_F)   1.02 states/eV/f.u.

# KNa2SiAg

A relaxed KNa2SiAg crystal (GGA-PBE, Alexandria via LeMat-Bulk).

Cell: 5.673 5.673 4.915 Å, 90.00 90.00 90.00°
Fractional coordinates of all 5 atoms:
Na (0.500, 0.000, 0.000)
Na (0.000, 0.500, 0.000)
Si (0.000, 0.000, 0.000)
Ag (0.000, 0.000, 0.500)
K (0.500, 0.500, 0.500)

Results
ΔE to the lowest computed polymorph   0 meV per atom
Symmetry   P4/mmm (123)
Uncorrected formation energy   0.07 eV/atom
N(E_F)   1.12 states/eV/f.u.

# ScSiP2

A relaxed ScSiP2 crystal (GGA-PBE, Alexandria via LeMat-Bulk).

Cell: 6.019 6.019 6.289 Å, 61.41 61.41 90.00°
Fractional coordinates of all 8 atoms:
Sc (0.000, 0.000, 0.000)
Sc (0.750, 0.250, 0.500)
Si (0.500, 0.500, 0.000)
Si (0.250, 0.750, 0.500)
P (0.173, 0.625, 0.250)
P (0.875, 0.827, 0.750)
P (0.375, 0.423, 0.750)
P (0.577, 0.125, 0.250)

Results
Symmetry   I-42d (122)
Uncorrected formation energy   -0.46 eV/atom
N(E_F)   2.90 states/eV/f.u.

# La5PrNd2Sm

A relaxed La5PrNd2Sm crystal (GGA-PBE, Alexandria via LeMat-Bulk).

Cell: 9.080 9.080 10.195 Å, 116.44 116.44 90.00°
Fractional coordinates of all 18 atoms:
Nd (0.117, 0.383, 0.000)
Nd (0.617, 0.117, 0.000)
Nd (0.883, 0.617, 0.000)
Nd (0.383, 0.883, 0.000)
La (0.000, 0.000, 0.000)
La (0.065, 0.565, 0.725)
La (0.660, 0.160, 0.725)
La (0.840, 0.935, 0.275)
La (0.935, 0.435, 0.275)
La (0.340, 0.840, 0.275)
La (0.435, 0.340, 0.275)
La (0.160, 0.065, 0.725)
La (0.500, 0.500, 0.000)
La (0.565, 0.660, 0.725)
Sm (0.250, 0.750, 0.500)
Sm (0.750, 0.250, 0.500)
Pr (0.250, 0.250, 0.500)
Pr (0.750, 0.750, 0.500)

Results
Calculated formation energy   0.24 eV/atom
Symmetry   I4/mcm (140)
N(E_F)   15.89 states/eV/f.u.

What is the N(E_F) in the first record? 1.02 states/eV/f.u.